No. 1
! Li2ScOs | Alexandria via LeMat-Bulk | PBE | relaxed; values from VASP
&SYSTEM
  ibrav = 0, nat = 4, ntyp = 3
/
ATOMIC_SPECIES
Li 6.94 Li.upf
Sc 44.96 Sc.upf
Os 190.23 Os.upf
ATOMIC_POSITIONS crystal
Li 0.000 0.000 0.000
Li 0.500 0.500 0.273
Sc 0.000 0.000 0.565
Os 0.500 0.500 0.779
CELL_PARAMETERS angstrom
1.593 -2.382 0.000
1.593 2.382 0.000
0.000 0.000 9.417
! Magnetization: 0.00 μB/cell



No. 2
! LiScOs | Alexandria via LeMat-Bulk | PBE | relaxed; values from VASP
&SYSTEM
  ibrav = 0, nat = 3, ntyp = 3
/
ATOMIC_SPECIES
Li 6.94 Li.upf
Sc 44.96 Sc.upf
Os 190.23 Os.upf
ATOMIC_POSITIONS crystal
Li 0.000 0.000 0.000
Sc 0.703 0.703 0.297
Os 0.348 0.348 0.652
CELL_PARAMETERS angstrom
0.000 2.369 6.890
1.601 0.000 6.890
1.601 2.369 0.000
! Magnetization: 0.00 μB/cell



No. 3
! Li2ScOs | Alexandria via LeMat-Bulk | PBE | relaxed; values from VASP
&SYSTEM
  ibrav = 0, nat = 4, ntyp = 3
/
ATOMIC_SPECIES
Li 6.94 Li.upf
Sc 44.96 Sc.upf
Os 190.23 Os.upf
ATOMIC_POSITIONS crystal
Li 0.000 0.000 0.000
Li 0.500 0.500 0.222
Sc 0.500 0.500 0.674
Os 0.000 0.000 0.464
CELL_PARAMETERS angstrom
2.771 0.000 0.000
0.000 4.006 0.000
0.000 0.000 6.088
! Magnetization: 0.00 μB/cell



No. 4
! Li2ScOs | Alexandria via LeMat-Bulk | PBE | relaxed; values from VASP
&SYSTEM
  ibrav = 0, nat = 4, ntyp = 3
/
ATOMIC_SPECIES
Li 6.94 Li.upf
Sc 44.96 Sc.upf
Os 190.23 Os.upf
ATOMIC_POSITIONS crystal
Li 0.000 0.000 0.000
Li 0.500 0.500 0.000
Sc 0.000 0.500 0.500
Os 0.500 0.000 0.500
CELL_PARAMETERS angstrom
3.069 0.000 0.000
0.000 4.331 0.000
0.000 0.000 4.942
! Magnetization: 0.00 μB/cell



No. 5
! Li2ScOs | Alexandria via LeMat-Bulk | PBE | relaxed; values from VASP
&SYSTEM
  ibrav = 0, nat = 4, ntyp = 3
/
ATOMIC_SPECIES
Li 6.94 Li.upf
Sc 44.96 Sc.upf
Os 190.23 Os.upf
ATOMIC_POSITIONS crystal
Li 0.000 0.000 0.000
Li 0.500 0.500 0.224
Sc 0.500 0.500 0.637
Os 0.000 0.000 0.429
CELL_PARAMETERS angstrom
3.221 0.000 0.000
0.000 3.221 0.000
0.000 0.000 6.726
! Magnetization: 0.00 μB/cell



No. 6
! LiScOs | Alexandria via LeMat-Bulk | PBE | relaxed; values from VASP
&SYSTEM
  ibrav = 0, nat = 3, ntyp = 3
/
ATOMIC_SPECIES
Li 6.94 Li.upf
Sc 44.96 Sc.upf
Os 190.23 Os.upf
ATOMIC_POSITIONS crystal
Li 0.000 0.000 0.000
Sc 0.750 0.750 0.750
Os 0.500 0.500 0.500
CELL_PARAMETERS angstrom
0.000 3.067 3.067
3.067 0.000 3.067
3.067 3.067 0.000
! Magnetization: 0.00 μB/cell



no.,energy of formation from the pure elements (eV/atom),distance to the lowest polymorph of the same formula (eV/f.u.)
1,0.109,0.28
2,0.138,0.45
3,0.109,0.28
4,0.100,0.24
5,0.060,0.08
6,0.771,2.35